Entry 1:
# LiY2Mg

A PBEsol-optimized structure of LiY2Mg (meta-GGA SCAN, the Alexandria database).

a = 3.7067 Å, b = 3.7067 Å, c = 7.4690 Å
α = 90.00°, β = 90.00°, γ = 90.00°
Closest atoms and distances in Å follow each position.
Element x y z (fractional)
Y (0.0000, 0.0000, 0.2494)  4 Li 3.22, 4 Mg 3.22
Li (0.5000, 0.5000, 0.0000)  8 Y 3.22
Y (0.0000, 0.0000, 0.7506)  4 Li 3.22, 4 Mg 3.22
Mg (0.5000, 0.5000, 0.5000)  8 Y 3.22

Properties
As for the formation enthalpy at 0 K: -0.0036 eV/atom. Its symmetry is P4/mmm, No. 123.

***

Entry 2:
# NiOsCl

A PBEsol-optimized structure of NiOsCl (meta-GGA SCAN, the Alexandria database).

a = 4.0182 Å, b = 4.0182 Å, c = 4.0182 Å
α = 60.00°, β = 60.00°, γ = 60.00°
Closest atoms and distances in Å follow each position.
Element x y z (fractional)
Os (0.7500, 0.7500, 0.7500)  4 Ni 2.46, 4 Cl 2.46
Cl (0.0000, 0.0000, 0.0000)  4 Os 2.46
Ni (0.5000, 0.5000, 0.5000)  4 Os 2.46

Properties
Its symmetry is F-43m, No. 216. As for the uncorrected formation energy: 1.185 eV per atom.

***

Entry 3:
# BaY3F11

A PBEsol-optimized structure of BaY3F11 (meta-GGA SCAN, the Alexandria database).

a = 4.3482 Å, b = 8.6469 Å, c = 16.0031 Å
α = 90.00°, β = 90.00°, γ = 90.00°
Closest atoms and distances in Å follow each position.
Element x y z (fractional)
F (0.5000, 0.5075, 0.7647)  2 Y 2.18
Y (0.0000, 0.4994, 0.7697)  6 F 2.16-2.18
F (0.5000, 0.0000, 0.5000)  2 Y 2.17
Y (0.0000, 0.0000, 0.5000)  6 F 2.16-2.17
F (0.0000, 0.9750, 0.9038)  1 Y 2.16
Y (0.0000, 0.9994, 0.2303)  6 F 2.16-2.18
F (0.0000, 0.5250, 0.9038)  1 Y 2.16
F (0.0000, 0.0210, 0.6347)  2 Y 2.16-2.17
Y (0.0000, 0.0006, 0.7697)  6 F 2.16-2.18
Ba (0.0000, 0.7500, 0.0141)  4 F 2.41-2.63
F (0.0000, 0.0250, 0.0962)  1 Y 2.16
F (0.0000, 0.7500, 0.5108)  2 Y 2.17
F (0.5000, 0.5000, 0.5000)  2 Y 2.17
F (0.5000, 0.9925, 0.7647)  2 Y 2.18
F (0.0000, 0.7500, 0.2118)  2 Y 2.18
F (0.0000, 0.5210, 0.3653)  2 Y 2.16-2.17
F (0.0000, 0.4750, 0.0962)  1 Y 2.16
Ba (0.0000, 0.2500, 0.9859)  4 F 2.41-2.63
F (0.0000, 0.9790, 0.3653)  2 Y 2.16-2.17
F (0.0000, 0.2500, 0.7882)  2 Y 2.18
F (0.5000, 0.4925, 0.2353)  2 Y 2.18
F (0.5000, 0.2500, 0.9207)  2 Ba 2.41
F (0.0000, 0.4790, 0.6347)  2 Y 2.16-2.17
F (0.5000, 0.0075, 0.2353)  2 Y 2.18
Y (0.0000, 0.5006, 0.2303)  6 F 2.16-2.18
F (0.5000, 0.7500, 0.0793)  2 Ba 2.41
F (0.0000, 0.7500, 0.7662)  2 Y 2.17
Y (0.0000, 0.5000, 0.5000)  6 F 2.16-2.17
F (0.0000, 0.2500, 0.4892)  2 Y 2.17
F (0.0000, 0.2500, 0.2338)  2 Y 2.17

Properties
Its symmetry is Pmma, No. 51. The value obtained for the distance to the lowest polymorph of the same formula is 114 meV/atom. As for the uncorrected formation energy: -4.254 eV per atom.

***

Entry 4:
# Cd2AgSe

A PBEsol-optimized structure of Cd2AgSe (meta-GGA SCAN, the Alexandria database).

a = 2.9918 Å, b = 5.1483 Å, c = 6.1812 Å
α = 110.35°, β = 90.00°, γ = 106.89°
Closest atoms and distances in Å follow each position.
Element x y z (fractional)
Cd (0.2460, 0.4920, 0.7511)  2 Ag 2.95, 3 Se 2.97-3.01, 4 Cd 2.99-3.04
Ag (0.7712, 0.5425, 0.1747)  2 Se 2.75, 5 Cd 2.77-2.95, 2 Ag 2.99
Cd (0.0179, 0.0357, 0.0497)  3 Ag 2.77-2.80, 4 Cd 2.99-3.04
Se (0.4649, 0.9297, 0.5245)  2 Ag 2.75, 3 Cd 2.97-3.01, 2 Se 2.99

Properties
Its symmetry is Cm, No. 8. As for the uncorrected formation energy: 0.002 eV per atom.

***

Entry 5:
# Cd2InGe2

A PBEsol-optimized structure of Cd2InGe2 (meta-GGA SCAN, the Alexandria database).

a = 3.9500 Å, b = 3.9500 Å, c = 7.6355 Å
α = 104.99°, β = 104.99°, γ = 90.00°
Closest atoms and distances in Å follow each position.
Element x y z (fractional)
Cd (0.6010, 0.6010, 0.2021)  1 Cd 2.87, 4 Ge 2.90, 4 In 3.14
Ge (0.2500, 0.7500, 0.5000)  4 Ge 2.79, 4 Cd 2.90
Cd (0.3990, 0.3990, 0.7979)  1 Cd 2.87, 4 Ge 2.90, 4 In 3.14
Ge (0.7500, 0.2500, 0.5000)  4 Ge 2.79, 4 Cd 2.90
In (0.0000, 0.0000, 0.0000)  8 Cd 3.14

Properties
As for the formation enthalpy at 0 K: 0.2050 eV/atom. Its symmetry is I4/mmm, No. 139. The value obtained for the distance to the lowest polymorph of the same formula is 46 meV/atom.

***

Entry 6:
# ReAu2Se

A PBEsol-optimized structure of ReAu2Se (meta-GGA SCAN, the Alexandria database).

a = 2.8268 Å, b = 2.8268 Å, c = 9.9261 Å
α = 81.81°, β = 81.81°, γ = 60.00°
Closest atoms and distances in Å follow each position.
Element x y z (fractional)
Se (0.0000, 0.0000, 0.0000)  6 Se 2.83, 6 Au 3.09
Re (0.5000, 0.5000, 0.5000)  6 Au 2.79, 6 Re 2.83
Au (0.7561, 0.7561, 0.7316)  3 Re 2.79, 6 Au 2.83, 3 Se 3.09
Au (0.2439, 0.2439, 0.2684)  3 Re 2.79, 6 Au 2.83, 3 Se 3.09

Properties
Its symmetry is R-3m, No. 166. As for the uncorrected formation energy: 0.570 eV per atom.

***

Entry 7:
# Nd2MgS4

A PBEsol-optimized structure of Nd2MgS4 (meta-GGA SCAN, the Alexandria database).

a = 7.2384 Å, b = 7.2384 Å, c = 7.2384 Å
α = 73.34°, β = 69.11°, γ = 110.89°
Closest atoms and distances in Å follow each position.
Element x y z (fractional)
S (0.7356, 0.5037, 0.3746)  1 Mg 2.63, 2 Nd 2.77-2.86
Nd (0.1237, 0.4987, 0.1250)  8 S 2.77-3.07
Nd (0.6237, 0.1250, 0.7513)  8 S 2.77-3.07
S (0.8783, 0.3746, 0.8898)  1 Mg 2.63, 2 Nd 2.77-2.86
S (0.2356, 0.8754, 0.7463)  1 Mg 2.63, 2 Nd 2.77-2.86
Nd (0.3763, 0.6250, 0.4987)  8 S 2.77-3.07
S (0.7644, 0.0181, 0.3602)  1 Mg 2.63, 2 Nd 2.77-2.86
S (0.2644, 0.8898, 0.2319)  1 Mg 2.63, 2 Nd 2.77-2.86
S (0.1217, 0.2319, 0.5037)  1 Mg 2.63, 2 Nd 2.77-2.86
Mg (0.5000, 0.2500, 0.2500)  4 S 2.63
Nd (0.8763, 0.7513, 0.6250)  8 S 2.77-3.07
S (0.6217, 0.7463, 0.0181)  1 Mg 2.63, 2 Nd 2.77-2.86
S (0.3783, 0.3602, 0.8754)  1 Mg 2.63, 2 Nd 2.77-2.86
Mg (0.0000, 0.0000, 0.0000)  4 S 2.63

Properties
Its symmetry is I-42d, No. 122. The value obtained for the distance to the lowest polymorph of the same formula is 7 meV/atom. As for the uncorrected formation energy: -2.079 eV per atom.

***

Entry 8:
# RhSe2NO

A PBEsol-optimized structure of RhSe2NO (meta-GGA SCAN, the Alexandria database).

a = 3.5445 Å, b = 4.9478 Å, c = 4.9478 Å
α = 90.00°, β = 90.00°, γ = 90.00°
Closest atoms and distances in Å follow each position.
Element x y z (fractional)
N (0.5000, 0.0000, 0.0000)  2 Rh 1.77
Rh (0.0000, 0.0000, 0.0000)  2 N 1.77
O (0.5000, 0.5000, 0.5000)  8 Se 3.04
Se (0.0000, 0.5000, 0.0000)  2 Rh 2.47
Se (0.0000, 0.0000, 0.5000)  2 Rh 2.47

Properties
Its symmetry is P4/mmm, No. 123. As for the uncorrected formation energy: 1.031 eV per atom.

***

Entry 9:
# GaTe2RhN

A PBEsol-optimized structure of GaTe2RhN (meta-GGA SCAN, the Alexandria database).

a = 3.4266 Å, b = 5.3884 Å, c = 5.3884 Å
α = 90.00°, β = 90.00°, γ = 90.00°
Closest atoms and distances in Å follow each position.
Element x y z (fractional)
Te (0.0000, 0.5000, 0.0000)  2 Ga 2.69
Rh (0.5000, 0.5000, 0.5000)  8 Te 3.19, 2 Rh 3.43
N (0.5000, 0.0000, 0.0000)  2 Ga 1.71
Ga (0.0000, 0.0000, 0.0000)  2 N 1.71
Te (0.0000, 0.0000, 0.5000)  2 Ga 2.69

Properties
Its symmetry is P4/mmm, No. 123. As for the uncorrected formation energy: 0.880 eV per atom.

***

Entry 10:
# MoOsW2

A PBEsol-optimized structure of MoOsW2 (meta-GGA SCAN, the Alexandria database).

a = 3.1141 Å, b = 4.4529 Å, c = 5.1564 Å
α = 115.58°, β = 107.58°, γ = 90.00°
Closest atoms and distances in Å follow each position.
Element x y z (fractional)
W (0.7574, 0.7574, 0.5148)  2 Mo 2.64, 4 W 2.72, 2 Os 2.74
W (0.2426, 0.2426, 0.4852)  2 Mo 2.64, 4 W 2.72, 2 Os 2.74
Os (0.0000, 0.5000, 0.0000)  4 Mo 2.72, 4 W 2.74
Mo (0.5000, 0.0000, 0.0000)  4 W 2.64, 4 Os 2.72

Properties
As for the formation enthalpy at 0 K: 0.1189 eV/atom. Its symmetry is Immm, No. 71. The value obtained for the distance to the lowest polymorph of the same formula is 0 meV/atom.

***

The records above yield total moment values of 0.1, 0.9, 0.1, 0.0, 0.0, 0.0, 0.0, 3.1, 1.4, 0.0 μB per cell, respectively.
The records above yield calculated volume values of 25.65, 15.29, 20.06, 21.22, 22.18, 16.94, 20.82, 17.35, 19.90, 15.19 A^3/atom, respectively.
The records above yield D(E_F) values of 0.724, 0.988, 0.000, 0.220, 0.373, 0.689, 0.000, 1.026, 0.659, 0.717 states/eV/atom, respectively.